(1)
CaSnP | PBE | optimized geometry

Calculated values
Magnetization: 0.00 Bohr magnetons per cell
Energy: -4.431 eV/atom
Energy of formation: -0.63 eV per atom
Calculated volume: 331 Å³/cell

Unit cell a=7.4273 b=11.2631 c=5.0538 alpha=90.00 beta=128.50 gamma=90.00
Positions (direct):
1 Ca 0.0000 0.1956 0.0000
2 Ca 0.0000 0.8044 0.0000
3 Ca 0.5000 0.3044 0.0000
4 Ca 0.5000 0.6956 0.0000
5 Sn 0.1742 0.5000 0.3773
6 Sn 0.3258 0.0000 0.6227
7 Sn 0.6742 0.0000 0.3773
8 Sn 0.8258 0.5000 0.6227
9 P 0.0000 0.3170 0.5000
10 P 0.0000 0.6830 0.5000
11 P 0.5000 0.1830 0.5000
12 P 0.5000 0.8170 0.5000

***

(2)
Zn2HgRh2 | PBE | optimized geometry

Calculated values
Energy relative to the lowest polymorph listed for this composition: 29 meV per atom
Magnetization: 0.00 Bohr magnetons per cell
Energy: -3.662 eV/atom
Energy of formation: -0.15 eV per atom
Calculated volume: 155 Å³/cell

Unit cell a=7.1063 b=7.1063 c=3.0743 alpha=90.00 beta=90.00 gamma=90.00
Positions (direct):
1 Zn 0.1299 0.3701 0.0000
2 Zn 0.3701 0.8701 0.0000
3 Zn 0.6299 0.1299 0.0000
4 Zn 0.8701 0.6299 0.0000
5 Hg 0.0000 0.0000 0.0000
6 Hg 0.5000 0.5000 0.0000
7 Rh 0.1647 0.6647 0.5000
8 Rh 0.3353 0.1647 0.5000
9 Rh 0.6647 0.8353 0.5000
10 Rh 0.8353 0.3353 0.5000

***

(3)
KYSiSe4 | PBE | optimized geometry

Calculated values
Magnetization: 0.00 Bohr magnetons per cell
Energy: -5.067 eV/atom
Calculated volume: 405 Å³/cell
Raw formation energy: -1.221 eV/atom

Unit cell a=6.6985 b=6.9665 c=9.1032 alpha=90.00 beta=107.58 gamma=90.00
Positions (direct):
1 K 0.2463 0.2500 0.4392
2 K 0.7537 0.7500 0.5608
3 Y 0.2712 0.2500 0.9484
4 Y 0.7288 0.7500 0.0516
5 Si 0.2763 0.7500 0.1717
6 Si 0.7237 0.2500 0.8283
7 Se 0.0727 0.7500 0.9217
8 Se 0.0781 0.7500 0.3337
9 Se 0.4943 0.5040 0.7876
10 Se 0.4943 0.9960 0.7876
11 Se 0.5057 0.0040 0.2124
12 Se 0.5057 0.4960 0.2124
13 Se 0.9219 0.2500 0.6663
14 Se 0.9273 0.2500 0.0783

***

(4)
ZrCo3Os | PBE | optimized geometry

Calculated values
Energy relative to the lowest polymorph listed for this composition: 0 meV per atom
Magnetization: 0.01 Bohr magnetons per cell
Energy: -7.232 eV/atom
Energy of formation: 0.99 eV per atom
Calculated volume: 86 Å³/cell

Unit cell a=4.4113 b=4.4113 c=4.4113 alpha=90.00 beta=90.00 gamma=90.00
Positions (direct):
1 Zr 0.0000 0.0000 0.0000
2 Co 0.0000 0.5000 0.5000
3 Co 0.5000 0.0000 0.5000
4 Co 0.5000 0.5000 0.0000
5 Os 0.5000 0.5000 0.5000

***

(5)
CuAg3S2 | PBE | optimized geometry

Calculated values
Magnetization: 0.00 Bohr magnetons per cell
Energy: -3.550 eV/atom
Calculated volume: 482 Å³/cell
Raw formation energy: -0.066 eV/atom

Unit cell a=8.5990 b=8.5990 c=8.5990 alpha=113.75 beta=113.75 gamma=101.22
Positions (direct):
1 Cu 0.2210 0.9710 0.2500
2 Cu 0.4710 0.7210 0.7500
3 Cu 0.5290 0.2790 0.2500
4 Cu 0.7790 0.0290 0.7500
5 Ag 0.0000 0.0000 0.5000
6 Ag 0.0000 0.5000 0.0000
7 Ag 0.0000 0.5000 0.5000
8 Ag 0.0749 0.9255 0.8603
9 Ag 0.2854 0.4251 0.3507
10 Ag 0.4255 0.0652 0.8507
11 Ag 0.4348 0.7854 0.3603
12 Ag 0.5000 0.5000 0.0000
13 Ag 0.5652 0.2146 0.6397
14 Ag 0.5745 0.9348 0.1493
15 Ag 0.7146 0.5749 0.6493
16 Ag 0.9251 0.0745 0.1397
17 S 0.2126 0.7424 0.0089
18 S 0.2335 0.2037 0.4911
19 S 0.2424 0.7335 0.5298
20 S 0.2963 0.2874 0.0298
21 S 0.7037 0.7126 0.9702
22 S 0.7576 0.2665 0.4702
23 S 0.7665 0.7963 0.5089
24 S 0.7874 0.2576 0.9911

***

(6)
Na2Pm3DyS6 | PBE | optimized geometry

Calculated values
Magnetization: 0.00 Bohr magnetons per cell
Energy: -5.732 eV/atom
Calculated volume: 276 Å³/cell
Raw formation energy: -1.877 eV/atom

Unit cell a=6.9585 b=6.9585 c=6.9612 alpha=99.56 beta=99.56 gamma=119.94
Positions (direct):
1 Na 0.1658 0.8342 0.0000
2 Na 0.8342 0.1658 0.0000
3 Pm 0.0000 0.0000 0.5000
4 Pm 0.3297 0.6703 0.5000
5 Pm 0.6703 0.3297 0.5000
6 Dy 0.5000 0.5000 0.0000
7 S 0.0926 0.4178 0.7537
8 S 0.2594 0.2594 0.2513
9 S 0.4178 0.0926 0.7537
10 S 0.5822 0.9074 0.2463
11 S 0.7406 0.7406 0.7487
12 S 0.9074 0.5822 0.2463

***

(7)
NaCdTe2O8 | PBE | optimized geometry

Calculated values
Magnetization: 1.08 Bohr magnetons per cell
Energy: -4.811 eV/atom
Calculated volume: 210 Å³/cell
Raw formation energy: -0.796 eV/atom

Unit cell a=6.0208 b=6.0208 c=6.6894 alpha=90.00 beta=90.00 gamma=120.00
Positions (direct):
1 Na 0.0000 0.0000 0.0000
2 Cd 0.0000 0.0000 0.5000
3 Te 0.3333 0.6667 0.6618
4 Te 0.6667 0.3333 0.3382
5 O 0.1637 0.3274 0.7435
6 O 0.1637 0.8363 0.7435
7 O 0.3274 0.1637 0.2565
8 O 0.3333 0.6667 0.3852
9 O 0.6667 0.3333 0.6148
10 O 0.6726 0.8363 0.7435
11 O 0.8363 0.1637 0.2565
12 O 0.8363 0.6726 0.2565

***

(8)
Er4TlPd2 | PBE | optimized geometry

Calculated values
Magnetization: 0.00 Bohr magnetons per cell
Energy: -4.901 eV/atom
Energy of formation: -0.47 eV per atom
Calculated volume: 187 Å³/cell

Unit cell a=10.0426 b=10.0426 c=10.0426 alpha=27.23 beta=27.23 gamma=27.23
Positions (direct):
1 Er 0.1154 0.1154 0.1154
2 Er 0.2975 0.2975 0.2975
3 Er 0.7025 0.7025 0.7025
4 Er 0.8846 0.8846 0.8846
5 Tl 0.5000 0.5000 0.5000
6 Pd 0.3988 0.3988 0.3988
7 Pd 0.6012 0.6012 0.6012